# 1
# KMn2Re, relaxed, DFT PBEsol
data_KMn2Re
_chemical_formula_sum 'K1 Mn2 Re1'
_cell_length_a 2.618
_cell_length_b 3.342
_cell_length_c 8.067
_cell_angle_alpha 90.00
_cell_angle_beta 90.00
_cell_angle_gamma 90.00
_symmetry_space_group_name_H-M 'P m m 2'
_symmetry_Int_Tables_number 25
_symmetry_space_group_name_Hall 'P 2 -2'
loop_
_atom_site_label
_atom_site_fract_x
_atom_site_fract_y
_atom_site_fract_z
K1 0.000 0.000 0.000
Mn1 0.000 0.000 0.462
Mn2 0.500 0.500 0.345
Re1 0.500 0.500 0.641
# - Total DFT energy (no corrections): -7.5942 eV per atom
# - Calculated volume: 70.58 Å³ per cell
# - Polymorph energy (0 for the lowest one): 0.111 eV/atom
# - Fermi-level density of states: 3.96 states/eV/cell

# 2
# La3InAs, relaxed, DFT PBEsol
data_La3InAs
_chemical_formula_sum 'La3 In1 As1'
_cell_length_a 5.816
_cell_length_b 5.816
_cell_length_c 5.816
_cell_angle_alpha 90.00
_cell_angle_beta 90.00
_cell_angle_gamma 90.00
_symmetry_space_group_name_H-M 'P m -3 m'
_symmetry_Int_Tables_number 221
_symmetry_space_group_name_Hall '-P 4 2 3'
loop_
_atom_site_label
_atom_site_fract_x
_atom_site_fract_y
_atom_site_fract_z
La1 0.000 0.000 0.500
In1 0.000 0.000 0.000
As1 0.500 0.500 0.500
# - Total DFT energy (no corrections): -4.5753 eV per atom
# - Calculated volume: 196.76 Å³ per cell
# - Fermi-level density of states: 3.75 states/eV/cell

# 3
# NiIr2SeN, relaxed, DFT PBEsol
data_NiIr2SeN
_chemical_formula_sum 'Ni1 Ir2 Se1 N1'
_cell_length_a 3.878
_cell_length_b 3.878
_cell_length_c 4.715
_cell_angle_alpha 90.00
_cell_angle_beta 90.00
_cell_angle_gamma 90.00
_symmetry_space_group_name_H-M 'P 4/m m m'
_symmetry_Int_Tables_number 123
_symmetry_space_group_name_Hall '-P 4 2'
loop_
_atom_site_label
_atom_site_fract_x
_atom_site_fract_y
_atom_site_fract_z
Ni1 0.000 0.000 0.000
Ir1 0.000 0.500 0.500
Se1 0.500 0.500 0.000
N1 0.500 0.500 0.500
# - Total DFT energy (no corrections): -6.6863 eV per atom
# - Calculated volume: 70.91 Å³ per cell
# - Formation energy from raw total energies: 0.9500 eV per atom
# - Fermi-level density of states: 7.74 states/eV/cell

# 4
# MgAlPt2, relaxed, DFT PBEsol
data_MgAlPt2
_chemical_formula_sum 'Mg2 Al2 Pt4'
_cell_length_a 3.729
_cell_length_b 3.729
_cell_length_c 8.580
_cell_angle_alpha 90.00
_cell_angle_beta 90.00
_cell_angle_gamma 90.00
_symmetry_space_group_name_H-M 'I -4 m 2'
_symmetry_Int_Tables_number 119
_symmetry_space_group_name_Hall 'I -4 -2'
loop_
_atom_site_label
_atom_site_fract_x
_atom_site_fract_y
_atom_site_fract_z
Mg1 0.000 0.000 0.000
Al1 0.000 0.500 0.750
Pt1 0.000 0.000 0.500
Pt2 0.000 0.500 0.250
# - Total DFT energy (no corrections): -5.7382 eV per atom
# - Calculated volume: 119.34 Å³ per cell
# - Fermi-level density of states: 2.70 states/eV/cell

# 5
# MnInSi, relaxed, DFT PBEsol
data_MnInSi
_chemical_formula_sum 'Mn2 In2 Si2'
_cell_length_a 3.067
_cell_length_b 3.067
_cell_length_c 9.291
_cell_angle_alpha 90.00
_cell_angle_beta 90.00
_cell_angle_gamma 90.00
_symmetry_space_group_name_H-M 'I 4 m m'
_symmetry_Int_Tables_number 107
_symmetry_space_group_name_Hall 'I 4 -2'
loop_
_atom_site_label
_atom_site_fract_x
_atom_site_fract_y
_atom_site_fract_z
Mn1 0.000 0.000 0.000
In1 0.000 0.000 0.696
Si1 0.000 0.000 0.403
# - Total DFT energy (no corrections): -6.1357 eV per atom
# - Calculated volume: 87.38 Å³ per cell
# - Formation energy from raw total energies: 0.0279 eV per atom
# - Fermi-level density of states: 2.40 states/eV/cell

# 6
# Ho2PbS4, relaxed, DFT PBEsol
data_Ho2PbS4
_chemical_formula_sum 'Ho32 Pb16 S64'
_cell_length_a 7.822
_cell_length_b 28.257
_cell_length_c 11.911
_cell_angle_alpha 90.00
_cell_angle_beta 90.00
_cell_angle_gamma 90.00
_symmetry_space_group_name_H-M 'C m c 21'
_symmetry_Int_Tables_number 36
_symmetry_space_group_name_Hall 'C 2c -2'
loop_
_atom_site_label
_atom_site_fract_x
_atom_site_fract_y
_atom_site_fract_z
Ho1 0.000 0.068 0.000
Ho2 0.000 0.176 0.479
Ho3 0.000 0.325 0.977
Ho4 0.000 0.431 0.493
Ho5 0.250 0.078 0.646
Ho6 0.250 0.180 0.128
Pb1 0.000 0.046 0.344
Pb2 0.000 0.461 0.798
Pb3 0.250 0.209 0.816
S1 0.000 0.020 0.579
S2 0.000 0.141 0.690
S3 0.000 0.162 0.976
S4 0.000 0.211 0.267
S5 0.000 0.289 0.766
S6 0.000 0.337 0.474
S7 0.000 0.359 0.189
S8 0.000 0.483 0.095
S9 0.248 0.039 0.854
S10 0.248 0.414 0.648
S11 0.249 0.265 0.027
S12 0.250 0.112 0.432
# - Total DFT energy (no corrections): -6.1510 eV per atom
# - Calculated volume: 2632.69 Å³ per cell
# - Formation energy from raw total energies: -1.6602 eV per atom
# - Fermi-level density of states: 0.00 states/eV/cell